This record from Alexandria describes a relaxed structure of Sr2FeW. The functional is PBEsol.

Cell lengths 2.914, 5.058, 5.982 Å; angles 90.00, 90.00, 90.00 degrees
Fractional coordinates of all 4 atoms:
Sr (0.000, 0.000, 0.248)
Sr (0.000, 0.000, 0.752)
Fe (0.500, 0.500, 0.000)
W (0.500, 0.500, 0.500)

## Properties
- E above lowest polymorph: 749 meV/atom
- DFT formation energy: 1.372 eV/atom